1.
Here is an optimized crystal structure of Np3USe4 from Alexandria via LeMat-Bulk. Energies are from PBE.

abc: 8.260 11.560 4.048
angles: 90.00 90.00 90.00
Fractional coordinates of all 16 atoms:
1 Np 0.000 0.000 0.000
2 Np 0.250 0.250 0.500
3 Np 0.250 0.750 0.500
4 Np 0.500 0.500 0.000
5 Np 0.750 0.250 0.500
6 Np 0.750 0.750 0.500
7 U 0.000 0.500 0.000
8 U 0.500 0.000 0.000
9 Se 0.000 0.250 0.000
10 Se 0.000 0.750 0.000
11 Se 0.249 0.000 0.500
12 Se 0.251 0.500 0.500
13 Se 0.500 0.250 0.000
14 Se 0.500 0.750 0.000
15 Se 0.749 0.500 0.500
16 Se 0.751 0.000 0.500

Summary:
**SG**: Cmmm (65)
**Density of states at the Fermi level**: 57.09 states/eV per cell
**ΔE to the lowest computed polymorph**: 2 meV/atom

=====

2.
Here is an optimized crystal structure of Np5USe8 from Alexandria via LeMat-Bulk. Energies are from PBE.

abc: 7.532 7.532 7.532
angles: 109.44 109.44 109.53
Fractional coordinates of all 14 atoms:
1 Np 0.000 0.000 0.000
2 Np 0.124 0.250 0.624
3 Np 0.500 0.876 0.126
4 Np 0.626 0.500 0.376
5 Np 0.750 0.374 0.874
6 U 0.250 0.750 0.500
7 Se 0.027 0.626 0.750
8 Se 0.225 0.475 0.101
9 Se 0.374 0.124 0.401
10 Se 0.375 0.125 0.899
11 Se 0.525 0.625 0.750
12 Se 0.723 0.973 0.599
13 Se 0.875 0.775 0.250
14 Se 0.876 0.277 0.250

Summary:
**SG**: I-4 (82)
**Density of states at the Fermi level**: 55.31 states/eV per cell

=====

3.
Here is an optimized crystal structure of NpU4Se6 from Alexandria via LeMat-Bulk. Energies are from PBE.

abc: 8.107 8.107 8.107
angles: 91.07 91.07 91.07
Fractional coordinates of all 22 atoms:
1 Np 0.000 0.000 0.000
2 Np 0.500 0.500 0.500
3 U 0.144 0.750 0.356
4 U 0.250 0.250 0.250
5 U 0.250 0.644 0.856
6 U 0.356 0.144 0.750
7 U 0.644 0.856 0.250
8 U 0.750 0.356 0.144
9 U 0.750 0.750 0.750
10 U 0.856 0.250 0.644
11 Se 0.061 0.914 0.670
12 Se 0.086 0.330 0.939
13 Se 0.170 0.414 0.561
14 Se 0.330 0.939 0.086
15 Se 0.414 0.561 0.170
16 Se 0.439 0.830 0.586
17 Se 0.561 0.170 0.414
18 Se 0.586 0.439 0.830
19 Se 0.670 0.061 0.914
20 Se 0.830 0.586 0.439
21 Se 0.914 0.670 0.061
22 Se 0.939 0.086 0.330

Summary:
**SG**: R-3c (167)
**Density of states at the Fermi level**: 59.98 states/eV per cell

=====

4.
Here is an optimized crystal structure of NpU6Se8 from Alexandria via LeMat-Bulk. Energies are from PBE.

abc: 8.102 8.102 8.102
angles: 60.00 60.00 60.00
Fractional coordinates of all 15 atoms:
1 Np 0.000 0.000 0.000
2 U 0.000 0.000 0.500
3 U 0.000 0.500 0.000
4 U 0.000 0.500 0.500
5 U 0.500 0.000 0.000
6 U 0.500 0.000 0.500
7 U 0.500 0.500 0.000
8 Se 0.250 0.250 0.250
9 Se 0.257 0.257 0.743
10 Se 0.257 0.743 0.257
11 Se 0.257 0.743 0.743
12 Se 0.743 0.257 0.257
13 Se 0.743 0.257 0.743
14 Se 0.743 0.743 0.257
15 Se 0.750 0.750 0.750

Summary:
**SG**: Fm-3m (225)
**Density of states at the Fermi level**: 41.59 states/eV per cell

=====

5.
Here is an optimized crystal structure of Np6USe12 from Alexandria via LeMat-Bulk. Energies are from PBE.

abc: 8.246 8.246 8.246
angles: 99.30 99.30 99.30
Fractional coordinates of all 19 atoms:
1 Np 0.128 0.811 0.636
2 Np 0.189 0.364 0.872
3 Np 0.364 0.872 0.189
4 Np 0.636 0.128 0.811
5 Np 0.811 0.636 0.128
6 Np 0.872 0.189 0.364
7 U 0.500 0.500 0.500
8 Se 0.073 0.923 0.322
9 Se 0.077 0.678 0.927
10 Se 0.172 0.432 0.539
11 Se 0.322 0.073 0.923
12 Se 0.432 0.539 0.172
13 Se 0.461 0.828 0.568
14 Se 0.539 0.172 0.432
15 Se 0.568 0.461 0.828
16 Se 0.678 0.927 0.077
17 Se 0.828 0.568 0.461
18 Se 0.923 0.322 0.073
19 Se 0.927 0.077 0.678

Summary:
**SG**: R-3 (148)
**Density of states at the Fermi level**: 67.01 states/eV per cell

=====

6.
Here is an optimized crystal structure of Np3USe4 from Alexandria via LeMat-Bulk. Energies are from PBE.

abc: 5.789 5.789 5.789
angles: 90.00 90.00 90.00
Fractional coordinates of all 8 atoms:
1 Np 0.000 0.000 0.500
2 Np 0.000 0.500 0.000
3 Np 0.500 0.000 0.000
4 U 0.500 0.500 0.500
5 Se 0.000 0.000 0.000
6 Se 0.000 0.500 0.500
7 Se 0.500 0.000 0.500
8 Se 0.500 0.500 0.000

Summary:
**SG**: Pm-3m (221)
**Density of states at the Fermi level**: 28.99 states/eV per cell
**ΔE to the lowest computed polymorph**: 0 meV/atom

=====

no.,mass density (kg/m³),calculated total energy (eV for the cell shown)
1,10870,-144.7
2,10372,-120.2
3,10372,-177.7
4,10140,-124.3
5,8083,-151.9
6,10824,-72.4